Compound: Be6Nb2Fe
Source: the Alexandria database
Functional: PBE
Structure: relaxed

Lattice parameters (Å, degrees): 6.2954 6.2954 2.8908 90.00 90.00 120.00
Space group P6/mmm (No. 191)
Symmetry-distinct sites (fractional):
Be1 0.0000 0.3256 0.0000 x6
Nb1 0.3333 0.6667 0.5000 x2
Fe1 0.0000 0.0000 0.5000 x1

Values from the calculation:
As for the density of states at the Fermi level: 0.367 states/eV per atom. As for the total DFT energy (no corrections): -5.75 eV/atom.

Compound: TaTc3P
Source: the Alexandria database
Functional: PBE
Structure: relaxed

Lattice parameters (Å, degrees): 4.7394 4.7394 4.7394 90.00 90.00 90.00
Space group Pm-3m (No. 221)
Symmetry-distinct sites (fractional):
Ta1 0.0000 0.0000 0.0000 x1
Tc1 0.0000 0.0000 0.5000 x3
P1 0.5000 0.5000 0.5000 x1

Values from the calculation:
As for the density of states at the Fermi level: 1.527 states/eV per atom. Its energy above the most stable polymorph in this dataset is 1.827 eV per atom.

Compound: CsLiInHg2
Source: the Alexandria database
Functional: PBE
Structure: relaxed

Lattice parameters (Å, degrees): 5.5104 5.5104 5.3972 90.00 90.00 90.00
Space group P4/mmm (No. 123)
Symmetry-distinct sites (fractional):
Cs1 0.0000 0.0000 0.0000 x1
Li1 0.5000 0.5000 0.5000 x1
In1 0.5000 0.5000 0.0000 x1
Hg1 0.0000 0.5000 0.5000 x2

Values from the calculation:
As for the density of states at the Fermi level: 0.609 states/eV per atom. Its energy above the most stable polymorph in this dataset is 0.017 eV per atom.

Compound: PuSc2Ga6
Source: the Alexandria database
Functional: PBE
Structure: relaxed

Lattice parameters (Å, degrees): 7.6752 7.6752 3.3085 90.00 90.00 120.00
Space group P6/mmm (No. 191)
Symmetry-distinct sites (fractional):
Pu1 0.0000 0.0000 0.0000 x1
Sc1 0.3333 0.6667 0.0000 x2
Ga1 0.0000 0.3378 0.5000 x6

Values from the calculation:
As for the density of states at the Fermi level: 0.726 states/eV per atom. Its energy above the most stable polymorph in this dataset is 0.000 eV per atom.

Compound: HCl
Source: the Alexandria database
Functional: PBE
Structure: relaxed

Lattice parameters (Å, degrees): 9.4772 9.4772 4.0691 90.00 90.00 120.00
Space group P6_3/m (No. 176)
Symmetry-distinct sites (fractional):
H1 0.1532 0.3430 0.2500 x6
Cl1 0.0741 0.6963 0.2500 x6

Values from the calculation:
As for the density of states at the Fermi level: 0.000 states/eV per atom. As for the total DFT energy (no corrections): -3.10 eV/atom.

Compound: SrCa3Bi2
Source: the Alexandria database
Functional: PBE
Structure: relaxed

Lattice parameters (Å, degrees): 18.9897 4.8847 10.3764 90.00 113.74 90.00
Space group C2/m (No. 12)
Symmetry-distinct sites (fractional):
Sr1 0.1105 0.0000 0.1254 x4
Ca1 0.0531 0.0000 0.6866 x4
Ca2 0.1536 0.5000 0.4823 x4
Ca3 0.1885 0.5000 0.8967 x4
Bi1 0.0068 0.5000 0.8251 x4
Bi2 0.2380 0.0000 0.7236 x4

Values from the calculation:
As for the density of states at the Fermi level: 0.580 states/eV per atom. As for the total DFT energy (no corrections): -3.20 eV/atom.